DFT (PBE-GGA) results for RbSr3Y after structural relaxation.

The crystal system is cubic. The energy above the lowest structure with this stoichiometry comes out at 0 meV per atom. As for the calculated density: 2.25 g cm⁻³. As for the formation energy: 0.54 eV per atom. The calculation puts the total energy at -9.8 eV/cell.

The structure belongs to space group Pm-3m (No. 221); the cell edges are 6.860, 6.860 and 6.860 Å and the angles 90.00°, 90.00° and 90.00°. The distinct sites, in fractional coordinates, are Rb at (0.000, 0.000, 0.000), Sr at (0.000, 0.500, 0.500) and Y at (0.500, 0.500, 0.500).